## Ga2Fe2Ni (PBE)

Data for a geometry-optimized Ga2Fe2Ni structure.

Cell lengths 6.3835, 6.3835, 3.2256 Å; angles 90.00, 90.00, 90.00 degrees
With the nearest neighbours (Å) after each atom.
Fractional coordinates of all 10 atoms:
1 Ga 0.1413 0.3587 0.0000  6 Fe 2.40-2.52, 2 Ni 2.46, 1 Ga 2.55
2 Ga 0.3587 0.8587 0.0000  6 Fe 2.40-2.52, 2 Ni 2.46, 1 Ga 2.55
3 Ga 0.6413 0.1413 0.0000  6 Fe 2.40-2.52, 2 Ni 2.46, 1 Ga 2.55
4 Fe 0.3384 0.1616 0.5000  6 Ga 2.40-2.52
5 Fe 0.1616 0.6616 0.5000  6 Ga 2.40-2.52
6 Ni 0.5000 0.5000 0.0000  4 Ga 2.46
7 Ni 0.0000 0.0000 0.0000  4 Ga 2.46
8 Fe 0.6616 0.8384 0.5000  6 Ga 2.40-2.52
9 Fe 0.8384 0.3384 0.5000  6 Ga 2.40-2.52
10 Ga 0.8587 0.6413 0.0000  6 Fe 2.40-2.52, 2 Ni 2.46, 1 Ga 2.55

As for the space group: P4/mbm. The formation enthalpy at 0 K comes out at 0.0386 eV/atom. As for the density of states at the Fermi level: 9.3 states/eV per cell. The polymorph energy (0 for the lowest one) is 0.000 eV/atom.

---

## CsHfPtN2 (PBE)

Data for a geometry-optimized CsHfPtN2 structure.

Cell lengths 4.1177, 6.3025, 4.1177 Å; angles 90.00, 90.00, 90.00 degrees
With the nearest neighbours (Å) after each atom.
Fractional coordinates of all 5 atoms:
1 N 0.0000 0.0000 0.5000  2 Cs 2.06
2 Hf 0.0000 0.5000 0.0000  4 Pt 2.91, 2 Cs 3.15
3 N 0.5000 0.0000 0.0000  2 Cs 2.06
4 Cs 0.0000 0.0000 0.0000  4 N 2.06
5 Pt 0.5000 0.5000 0.5000  4 Hf 2.91

The calculation puts the uncorrected formation energy at 2.58 eV per atom. As for the space group: P4/mmm. As for the density of states at the Fermi level: 2.0 states/eV per cell.

---

## NaSrLiAu (PBE)

Data for a geometry-optimized NaSrLiAu structure.

Cell lengths 5.3536, 5.3536, 5.3536 Å; angles 60.00, 60.00, 60.00 degrees
With the nearest neighbours (Å) after each atom.
Fractional coordinates of all 4 atoms:
1 Sr 0.7500 0.7500 0.7500  4 Au 3.28, 4 Li 3.28
2 Li 0.5000 0.5000 0.5000  4 Sr 3.28, 4 Na 3.28
3 Na 0.2500 0.2500 0.2500  4 Li 3.28, 4 Au 3.28
4 Au 0.0000 0.0000 0.0000  4 Na 3.28, 4 Sr 3.28

As for the space group: F-43m. The formation enthalpy at 0 K comes out at -0.2635 eV/atom. As for the density of states at the Fermi level: 2.3 states/eV per cell.

---

## PClF3 (PBE)

Data for a geometry-optimized PClF3 structure.

Cell lengths 7.1196, 7.1196, 6.6638 Å; angles 57.71, 57.71, 60.00 degrees
With the nearest neighbours (Å) after each atom.
Fractional coordinates of all 10 atoms:
1 Cl 0.3052 0.3052 0.0845  1 P 2.39
2 F 0.7806 0.1216 0.3172  1 P 1.59
3 F 0.1216 0.7806 0.3172  1 P 1.59
4 F 0.2194 0.2194 0.6828  1 P 1.59
5 Cl 0.6948 0.6948 0.9155  1 P 2.39
6 F 0.2194 0.8784 0.6828  1 P 1.59
7 F 0.8784 0.2194 0.6828  1 P 1.59
8 P 0.8470 0.8470 0.4590  3 F 1.59
9 P 0.1530 0.1530 0.5410  3 F 1.59
10 F 0.7806 0.7806 0.3172  1 P 1.59

The calculation puts the uncorrected formation energy at -1.72 eV per atom. As for the space group: R-3m. The polymorph energy (0 for the lowest one) is 0.091 eV/atom.

---

Calculated values (eV/atom) of total DFT energy (no corrections) for the records, taken in order: -5.7135; -4.1214; -2.3116; -4.2941.